Tb5Sm7Ho PBE optimized geometry; DOS(E_F) = 21.85 states/eV/cell; raw total energy = -4.433 eV/atom; symmetry = Imm2, No. 44
1.0
-3.3571 5.6409 5.8386
3.3571 -5.6409 5.8386
3.3571 5.6409 -5.8386
Tb Sm Ho
5 7 1
Cartesian
0.0000 0.0000 0.0000 Tb
1.8004 2.5783 0.0391 Tb
4.9137 2.5783 0.0391 Tb
-1.5566 3.0627 5.8777 Tb
1.5566 3.0627 5.8777 Tb
3.3571 3.7113 -2.9135 Sm
0.0000 1.9296 2.9251 Sm
0.0000 0.0000 5.8254 Sm
3.3571 0.0000 5.8264 Sm
3.3571 3.6930 2.9467 Sm
0.0000 5.6409 3.5961 Sm
0.0000 1.9480 8.7853 Sm
3.3571 0.0000 2.2179 Ho